Entry 1:
Entry from Alexandria: a relaxed structure of Tb2Y6Ho (PBE-GGA).

The value obtained for the total magnetization is 0.0 μB per formula unit.

The structure belongs to space group P4_2/mnm (No. 136); the cell edges are 10.688, 10.688 and 5.043 Å and the angles 90.00°, 90.00° and 90.00°. The asymmetric unit holds Tb at (0.166, 0.166, 0.000), Y at (0.000, 0.332, 0.500), Y at (0.166, 0.834, 0.000) and Ho at (0.000, 0.000, 0.500).

=====

Entry 2:
Entry from Alexandria: a relaxed structure of V5Tc6Mo (PBE-GGA).

The value obtained for the total magnetization is 0.0 μB per formula unit.

The structure belongs to space group P2/m (No. 10); the cell edges are 4.305, 6.098 and 6.804 Å and the angles 90.00°, 108.52° and 90.00°. The asymmetric unit holds V at (0.000, 0.000, 0.000), V at (0.332, 0.500, 0.664), V at (0.333, 0.000, 0.666), Tc at (0.168, 0.248, 0.336), Tc at (0.500, 0.246, 0.000) and Mo at (0.000, 0.500, 0.000).

=====

| no. | formation energy from the elements (kJ/mol of formula units) |
| --- | --- |
| 1 | 19 |
| 2 | -350 |